No. 1
An optimized crystal structure of MnCrCu, computed with PBE-GGA.

Unit cell a=2.8332 b=3.9597 c=12.3451 alpha=90.00 beta=90.00 gamma=90.00
With the nearest neighbours (Å) after each atom.
Space group Fmm2 (No. 42)
Asymmetric unit:
Mn  0.0000  0.0000  0.0000 [4 per cell]  2 Cr 2.37, 4 Mn 2.43, 2 Cu 2.56
Cr  0.0000  0.0000  0.6539 [4 per cell]  2 Mn 2.37, 4 Cr 2.43, 2 Cu 2.57
Cu  0.0000  0.0000  0.3276 [4 per cell]  4 Cu 2.43, 2 Mn 2.56, 2 Cr 2.57

- uncorrected energy (eV for the cell shown) = -88.78
- total moment (μB/atom) = 0.005
- DFT formation energy (eV per atom) = 0.2313
- energy relative to the lowest polymorph listed for this composition (meV/atom) = 87
- volume (Å³/atom) = 11.54



No. 2
An optimized crystal structure of Cs3Li2NpF9, computed with PBE-GGA.

Unit cell a=6.3221 b=6.3221 c=8.4135 alpha=90.00 beta=90.00 gamma=120.00
With the nearest neighbours (Å) after each atom.
Space group P-3m1 (No. 164)
Asymmetric unit:
Cs  0.0000  0.0000  0.0000 [1 per cell]  12 F 3.16-3.41
Cs  0.3333  0.6667  0.6997 [2 per cell]  9 F 3.12-3.19, 1 Li 3.17
Li  0.3333  0.6667  0.0769 [2 per cell]  3 F 1.94
Np  0.0000  0.0000  0.5000 [1 per cell]  6 F 2.17
F  0.0000  0.5000  0.0000 [3 per cell]  2 Li 1.94
F  0.1594  0.3189  0.3478 [6 per cell]  1 Np 2.17

- raw formation energy (eV/atom) = -3.04
- uncorrected energy (eV for the cell shown) = -81.84
- total moment (μB/atom) = 0.200
- volume (Å³/atom) = 19.42



No. 3
An optimized crystal structure of Ac2TmTlO6, computed with PBE-GGA.

Unit cell a=5.9885 b=6.2008 c=10.4858 alpha=90.00 beta=124.43 gamma=90.00
With the nearest neighbours (Å) after each atom.
Space group P2_1/c (No. 14)
Asymmetric unit:
Ac  0.2332  0.0526  0.2481 [4 per cell]  4 O 2.47-2.59
Tm  0.5000  0.0000  0.0000 [2 per cell]  6 O 2.22-2.24
Tl  0.0000  0.0000  0.5000 [2 per cell]  6 O 2.30-2.35
O  0.1431  0.1943  0.9415 [4 per cell]  1 Tm 2.22, 1 Tl 2.30
O  0.2404  0.7061  0.9348 [4 per cell]  1 Tm 2.24, 1 Tl 2.30
O  0.3727  0.0503  0.7565 [4 per cell]  1 Tm 2.24, 1 Tl 2.35, 1 Ac 2.47

- raw formation energy (eV/atom) = -2.76
- uncorrected energy (eV for the cell shown) = -144.86
- total moment (μB/atom) = 0.000
- volume (Å³/atom) = 16.06



No. 4
An optimized crystal structure of AlAg2Sb2, computed with PBE-GGA.

Unit cell a=8.6771 b=8.6771 c=3.0929 alpha=90.00 beta=90.00 gamma=90.00
With the nearest neighbours (Å) after each atom.
Space group P4/mbm (No. 127)
Asymmetric unit:
Al  0.0000  0.0000  0.0000 [2 per cell]  2 Al 3.09, 4 Sb 3.19
Ag  0.1195  0.3805  0.5000 [4 per cell]  6 Sb 2.92-3.06, 3 Ag 2.93-3.09
Sb  0.1785  0.6785  0.0000 [4 per cell]  6 Ag 2.92-3.06, 2 Sb 3.09, 2 Al 3.19

- raw formation energy (eV/atom) = 0.23
- uncorrected energy (eV for the cell shown) = -33.06
- total moment (μB/atom) = 0.000
- energy relative to the lowest polymorph listed for this composition (meV/atom) = 0
- volume (Å³/atom) = 23.29



No. 5
An optimized crystal structure of BaLaCu2P, computed with PBE-GGA.

Unit cell a=4.7446 b=4.7446 c=5.5622 alpha=90.00 beta=90.00 gamma=90.00
With the nearest neighbours (Å) after each atom.
Space group P4/mmm (No. 123)
Asymmetric unit:
Ba  0.0000  0.0000  0.0000 [1 per cell]  4 La 3.35, 8 Cu 3.66
La  0.5000  0.5000  0.0000 [1 per cell]  2 P 2.78
Cu  0.0000  0.5000  0.5000 [2 per cell]  2 P 2.37
P  0.5000  0.5000  0.5000 [1 per cell]  4 Cu 2.37

- uncorrected energy (eV for the cell shown) = -20.48
- total moment (μB/atom) = 0.000
- DFT formation energy (eV per atom) = -0.0058
- volume (Å³/atom) = 25.04



No. 6
An optimized crystal structure of NaY3As, computed with PBE-GGA.

Unit cell a=5.3937 b=5.3937 c=5.3937 alpha=90.00 beta=90.00 gamma=90.00
With the nearest neighbours (Å) after each atom.
Space group Pm-3m (No. 221)
Asymmetric unit:
Na  0.0000  0.0000  0.0000 [1 per cell]  6 Y 2.70
Y  0.0000  0.0000  0.5000 [3 per cell]  2 Na 2.70
As  0.5000  0.5000  0.5000 [1 per cell]  12 Y 3.81

- uncorrected energy (eV for the cell shown) = -21.46
- total moment (μB/atom) = 0.204
- DFT formation energy (eV per atom) = 0.7801
- energy relative to the lowest polymorph listed for this composition (meV/atom) = 1028
- volume (Å³/atom) = 31.38



No. 7
An optimized crystal structure of Ca2TlP, computed with PBE-GGA.

Unit cell a=4.1442 b=4.1442 c=25.8673 alpha=90.00 beta=90.00 gamma=120.00
With the nearest neighbours (Å) after each atom.
Space group R3m (No. 160, hexagonal axes)
Asymmetric unit:
Ca  0.0000  0.0000  0.0000 [3 per cell]  3 P 2.82
Ca  0.0000  0.0000  0.2062 [3 per cell]  3 Tl 3.37
Tl  0.0000  0.0000  0.4476 [3 per cell]  3 P 2.81
P  0.0000  0.0000  0.7241 [3 per cell]  3 Tl 2.81, 3 Ca 2.82

- uncorrected energy (eV for the cell shown) = -39.78
- total moment (μB/atom) = 0.000
- DFT formation energy (eV per atom) = -0.3702
- energy relative to the lowest polymorph listed for this composition (meV/atom) = 302
- volume (Å³/atom) = 32.06



No. 8
An optimized crystal structure of Al2ReMo, computed with PBE-GGA.

Unit cell a=3.1310 b=4.4872 c=8.8068 alpha=90.00 beta=90.00 gamma=90.00
With the nearest neighbours (Å) after each atom.
Space group Cmm2 (No. 35)
Asymmetric unit:
Al  0.0000  0.0000  0.0000 [2 per cell]  2 Re 2.64, 6 Al 2.74-2.81
Al  0.0000  0.5000  0.2646 [2 per cell]  2 Mo 2.68, 6 Al 2.74-2.81
Re  0.0000  0.5000  0.7579 [2 per cell]  2 Al 2.64, 2 Mo 2.68, 4 Re 2.74
Mo  0.0000  0.0000  0.5112 [2 per cell]  2 Al 2.68, 2 Re 2.68, 4 Mo 2.74

- uncorrected energy (eV for the cell shown) = -61.22
- total moment (μB/atom) = 0.000
- DFT formation energy (eV per atom) = 0.0391
- energy relative to the lowest polymorph listed for this composition (meV/atom) = 348
- volume (Å³/atom) = 15.47